Material: Ac12NdPd7
Method: DFT, GGA-PBE
State: optimized geometry

Summary:
DFT total energy: -5.01 eV per atom
formation enthalpy at 0 K: -0.49 eV/atom
magnetic moment: 0.0 μB/f.u.
space group: R-3, No. 148

Geometry as POSCAR:
```
Ac12NdPd7
1.0
7.8050 4.5062 3.5591
-7.8050 4.5062 3.5591
0.0000 -9.0124 3.5591
Ac Nd Pd
12 1 7
Direct
0.0422 0.3462 0.1187
0.1187 0.0422 0.3462
0.1899 0.7262 0.5734
0.2738 0.4266 0.8101
0.3462 0.1187 0.0422
0.4266 0.8101 0.2738
0.5734 0.1899 0.7262
0.6538 0.8813 0.9578
0.7262 0.5734 0.1899
0.8101 0.2738 0.4266
0.8813 0.9578 0.6538
0.9578 0.6538 0.8813
0.5000 0.5000 0.5000
0.0000 0.0000 0.0000
0.1541 0.3846 0.4630
0.3846 0.4630 0.1541
0.4630 0.1541 0.3846
0.5370 0.8459 0.6154
0.6154 0.5370 0.8459
0.8459 0.6154 0.5370
```

Material: Tb2TmTe2S2
Method: DFT, GGA-PBE
State: optimized geometry

Summary:
DFT total energy: -5.43 eV per atom
formation energy without anion corrections: -1.3886 eV/atom
magnetic moment: 0.1 μB/f.u.
space group: I4/mmm, No. 139

Geometry as POSCAR:
```
Tb2TmTe2S2
1.0
-2.4930 2.4930 7.8364
2.4930 -2.4930 7.8364
2.4930 2.4930 -7.8364
Tb Tm Te S
2 1 2 2
Direct
0.1127 0.1127 0.0000
0.8873 0.8873 0.0000
0.5000 0.5000 0.0000
0.3118 0.3118 0.0000
0.6882 0.6882 0.0000
0.0000 0.5000 0.5000
0.5000 0.0000 0.5000
```

Material: UAlRh2
Method: DFT, GGA-PBE
State: optimized geometry

Summary:
DFT total energy: -8.12 eV per atom
formation enthalpy at 0 K: -0.69 eV/atom
magnetic moment: 1.0 μB/f.u.
space group: P4/mmm, No. 123

Geometry as POSCAR:
```
UAlRh2
1.0
3.0120 0.0000 0.0000
0.0000 3.0120 0.0000
0.0000 0.0000 7.1199
U Al Rh
1 1 2
Direct
0.0000 0.0000 0.0000
0.0000 0.0000 0.5000
0.5000 0.5000 0.2856
0.5000 0.5000 0.7144
```

Material: SiAg2Au2
Method: DFT, GGA-PBE
State: optimized geometry

Summary:
DFT total energy: -3.20 eV per atom
formation energy without anion corrections: 0.3325 eV/atom
magnetic moment: 0.0 μB/f.u.
space group: I4/mmm, No. 139

Geometry as POSCAR:
```
SiAg2Au2
1.0
-1.8622 1.8622 7.1072
1.8622 -1.8622 7.1072
1.8622 1.8622 -7.1072
Si Ag Au
1 2 2
Direct
0.0000 0.0000 0.0000
0.2500 0.7500 0.5000
0.7500 0.2500 0.5000
0.4053 0.4053 0.0000
0.5947 0.5947 0.0000
```

Material: Zr6ZnCo
Method: DFT, GGA-PBE
State: optimized geometry

Summary:
DFT total energy: -7.57 eV per atom
formation enthalpy at 0 K: -0.11 eV/atom
magnetic moment: 0.7 μB/f.u.
space group: I4/mmm, No. 139

Geometry as POSCAR:
```
Zr6ZnCo
1.0
-2.2819 2.2819 7.8152
2.2819 -2.2819 7.8152
2.2819 2.2819 -7.8152
Zr Zn Co
6 1 1
Direct
0.1090 0.6090 0.5000
0.2500 0.2500 0.0000
0.3910 0.8910 0.5000
0.6090 0.1090 0.5000
0.7500 0.7500 0.0000
0.8910 0.3910 0.5000
0.0000 0.0000 0.0000
0.5000 0.5000 0.0000
```

Material: NpCdGa2O8
Method: DFT, GGA-PBE
State: optimized geometry

Summary:
DFT total energy: -6.67 eV per atom
formation energy without anion corrections: -1.7020 eV/atom
magnetic moment: 1.0 μB/f.u.
space group: Cmmm, No. 65

Geometry as POSCAR:
```
NpCdGa2O8
1.0
3.4092 -3.4697 0.0000
3.4092 3.4697 0.0000
0.0000 0.0000 6.3262
Np Cd Ga O
1 1 2 8
Direct
0.0000 0.0000 0.0000
0.0000 0.0000 0.5000
0.5000 0.5000 0.2527
0.5000 0.5000 0.7473
0.2056 0.7944 0.2201
0.2056 0.7944 0.7799
0.3099 0.3099 0.0000
0.3247 0.3247 0.5000
0.6753 0.6753 0.5000
0.6901 0.6901 0.0000
0.7944 0.2056 0.2201
0.7944 0.2056 0.7799
```

Material: MgMoRh2
Method: DFT, GGA-PBE
State: optimized geometry

Summary:
DFT total energy: -6.52 eV per atom
formation enthalpy at 0 K: 0.27 eV/atom
magnetic moment: 0.0 μB/f.u.
space group: I-42d, No. 122

Geometry as POSCAR:
```
MgMoRh2
1.0
-3.5124 3.5124 2.7935
3.5124 -3.5124 2.7935
3.5124 3.5124 -2.7935
Mg Mo Rh
2 2 4
Direct
0.0000 0.0000 0.0000
0.7500 0.2500 0.5000
0.2500 0.7500 0.5000
0.5000 0.5000 0.0000
0.1567 0.6250 0.0317
0.3750 0.4067 0.5317
0.5933 0.1250 0.9683
0.8750 0.8433 0.4683
```

Material: BaLaY
Method: DFT, GGA-PBE
State: optimized geometry

Summary:
DFT total energy: -3.67 eV per atom
formation enthalpy at 0 K: 0.77 eV/atom
magnetic moment: 0.0 μB/f.u.
space group: F-43m, No. 216

Geometry as POSCAR:
```
BaLaY
1.0
0.0000 4.2000 4.2000
4.2000 0.0000 4.2000
4.2000 4.2000 0.0000
Ba La Y
1 1 1
Direct
0.0000 0.0000 0.0000
0.5000 0.5000 0.5000
0.7500 0.7500 0.7500
```